The following is a DFT calculation (PBE) of crystalline PmPr5Y3 at its relaxed geometry.

Results
energy of formation from the pure elements	0.26	eV per atom
mass density	5.68	g/cm3
E_tot	-5.080	eV/atom
ΔE to the lowest computed polymorph	0.0000	eV per atom

CIF file:
```
data_PmPr5Y3
_cell_length_a 9.9979
_cell_length_b 9.9979
_cell_length_c 11.5417
_cell_angle_alpha 112.58
_cell_angle_beta 112.58
_cell_angle_gamma 38.24
_symmetry_space_group_name_H-M 'P 1'
_symmetry_Int_Tables_number 1
_symmetry_space_group_name_Hall 'P 1'
loop_
_atom_site_label
_atom_site_fract_x
_atom_site_fract_y
_atom_site_fract_z
_atom_site_occupancy
Pm1 0.1308 0.8692 0.7500 1
Pm2 0.8692 0.1308 0.2500 1
Pr1 0.0088 0.6529 0.1367 1
Pr2 0.1283 0.5344 0.7899 1
Pr3 0.3471 0.9912 0.3633 1
Pr4 0.4034 0.5966 0.2500 1
Pr5 0.4656 0.8717 0.7101 1
Pr6 0.5344 0.1283 0.2899 1
Pr7 0.5966 0.4034 0.7500 1
Pr8 0.6529 0.0088 0.6367 1
Pr9 0.8717 0.4656 0.2101 1
Pr10 0.9912 0.3471 0.8633 1
Y1 0.0000 0.0000 0.0000 1
Y2 0.0000 0.0000 0.5000 1
Y3 0.1383 0.5421 0.4861 1
Y4 0.4579 0.8617 0.0139 1
Y5 0.5421 0.1383 0.9861 1
Y6 0.8617 0.4579 0.5139 1
```

***

The following is a DFT calculation (PBE) of crystalline Be2MoAu at its relaxed geometry.

Results
energy of formation from the pure elements	0.43	eV per atom
mass density	9.55	g/cm3
E_tot	-4.962	eV/atom
ΔE to the lowest computed polymorph	0.4232	eV per atom

CIF file:
```
data_Be2MoAu
_cell_length_a 5.2169
_cell_length_b 5.2169
_cell_length_c 5.2169
_cell_angle_alpha 106.12
_cell_angle_beta 106.12
_cell_angle_gamma 116.41
_symmetry_space_group_name_H-M 'P 1'
_symmetry_Int_Tables_number 1
_symmetry_space_group_name_Hall 'P 1'
loop_
_atom_site_label
_atom_site_fract_x
_atom_site_fract_y
_atom_site_fract_z
_atom_site_occupancy
Be1 0.1123 0.6250 0.9873 1
Be2 0.3750 0.3623 0.4873 1
Be3 0.6377 0.1250 0.0127 1
Be4 0.8750 0.8877 0.5127 1
Mo1 0.2500 0.7500 0.5000 1
Mo2 0.5000 0.5000 0.0000 1
Au1 0.0000 0.0000 0.0000 1
Au2 0.7500 0.2500 0.5000 1
```

***

Q: Which formula does entry 2 have?
A: Be2MoAu

***

Repeat the first record exactly.
The following is a DFT calculation (PBE) of crystalline PmPr5Y3 at its relaxed geometry.

Results
energy of formation from the pure elements	0.26	eV per atom
mass density	5.68	g/cm3
E_tot	-5.080	eV/atom
ΔE to the lowest computed polymorph	0.0000	eV per atom

CIF file:
```
data_PmPr5Y3
_cell_length_a 9.9979
_cell_length_b 9.9979
_cell_length_c 11.5417
_cell_angle_alpha 112.58
_cell_angle_beta 112.58
_cell_angle_gamma 38.24
_symmetry_space_group_name_H-M 'P 1'
_symmetry_Int_Tables_number 1
_symmetry_space_group_name_Hall 'P 1'
loop_
_atom_site_label
_atom_site_fract_x
_atom_site_fract_y
_atom_site_fract_z
_atom_site_occupancy
Pm1 0.1308 0.8692 0.7500 1
Pm2 0.8692 0.1308 0.2500 1
Pr1 0.0088 0.6529 0.1367 1
Pr2 0.1283 0.5344 0.7899 1
Pr3 0.3471 0.9912 0.3633 1
Pr4 0.4034 0.5966 0.2500 1
Pr5 0.4656 0.8717 0.7101 1
Pr6 0.5344 0.1283 0.2899 1
Pr7 0.5966 0.4034 0.7500 1
Pr8 0.6529 0.0088 0.6367 1
Pr9 0.8717 0.4656 0.2101 1
Pr10 0.9912 0.3471 0.8633 1
Y1 0.0000 0.0000 0.0000 1
Y2 0.0000 0.0000 0.5000 1
Y3 0.1383 0.5421 0.4861 1
Y4 0.4579 0.8617 0.0139 1
Y5 0.5421 0.1383 0.9861 1
Y6 0.8617 0.4579 0.5139 1
```

***

Q: Which of these has the highest E_tot?
A: Be2MoAu

***

Q: Look up the energy of formation from the pure elements of the second one.
A: 0.43 eV per atom